Entry from Alexandria via LeMat-Bulk: a relaxed Y6Cd2Cu crystal (GGA-PBE).

The energy of formation from the pure elements comes out at -90.7 meV/atom. Its magnetic moment is 0.35 μB per formula unit.

Cell lengths 6.3376, 9.2027, 9.9662 Å; angles 90.00, 118.72, 90.00 degrees
Space group P2_1/c (No. 14)
One atom of each set of equivalent atoms:
Y1 0.0767 0.1746 0.4707 [4 per cell]
Y2 0.3427 0.6867 0.4458 [4 per cell]
Y3 0.4041 0.0333 0.2885 [4 per cell]
Cd1 0.1417 0.0998 0.7757 [4 per cell]
Cu1 0.0000 0.0000 0.0000 [2 per cell]

=====

Entry from Alexandria via LeMat-Bulk: a relaxed Ta3FeNi crystal (GGA-PBE).

The energy of formation from the pure elements comes out at 1232.0 meV/atom. Its magnetic moment is 0.01 μB per formula unit. The energy above the most stable polymorph in this dataset comes out at 1.669 eV per formula unit.

Cell lengths 4.5334, 4.5334, 4.5334 Å; angles 90.00, 90.00, 90.00 degrees
Space group Pm-3m (No. 221)
One atom of each set of equivalent atoms:
Ta1 0.0000 0.0000 0.5000 [3 per cell]
Fe1 0.5000 0.5000 0.5000 [1 per cell]
Ni1 0.0000 0.0000 0.0000 [1 per cell]

=====

Entry from Alexandria via LeMat-Bulk: a relaxed Ho3ErN crystal (GGA-PBE).

Its magnetic moment is 0.00 μB per formula unit. The formation energy from raw total energies is -2.7 eV per formula unit.

Cell lengths 4.9267, 4.9267, 4.9267 Å; angles 90.00, 90.00, 90.00 degrees
Space group Pm-3m (No. 221)
One atom of each set of equivalent atoms:
Ho1 0.0000 0.0000 0.5000 [3 per cell]
Er1 0.5000 0.5000 0.5000 [1 per cell]
N1 0.0000 0.0000 0.0000 [1 per cell]

=====

Q: Which formula does entry 1 have?
A: Y6Cd2Cu

=====

Q: Among the records above, which one has the lowest magnetic moment?
A: Ho3ErN